First-principles (PBE+U) data for an optimized crystal structure of LiVOF3, as listed in Alexandria.

```
24
Lattice="5.1900 0.0000 0.0000 0.0000 5.4639 0.2702 0.0000 4.5571 11.9853" Properties=species:S:1:pos:R:3 pbc="T T T"
F 3.1031 7.5771 8.1392
F 2.0869 5.2985 2.1465
F 1.9689 2.4102 4.1758
F 0.6107 2.5403 1.8832
F 1.2009 5.7398 11.6090
F 1.0321 6.5054 6.7188
F 1.6160 8.5391 11.8510
F 3.9892 3.4612 5.6163
F 4.1580 4.2269 0.7261
F 3.5741 6.2606 5.8583
F 3.2211 4.6887 10.1685
F 4.5793 4.8188 7.8759
V 0.0411 7.3079 11.9531
V 2.3999 2.4121 6.0775
V 2.7901 0.1335 0.0849
V 5.1489 5.0293 5.9604
O 0.4302 5.1939 4.3627
O 4.7598 7.4725 10.3554
O 1.3945 3.7243 6.4297
O 3.7955 1.4457 0.4370
Li 3.9461 3.4171 8.9621
Li 1.2695 3.8521 3.0861
Li 1.2439 1.1386 2.9694
Li 3.9205 6.1307 9.0787
```

Summary:
Its density is 2.6 g cm⁻³. For the energy above the most stable polymorph in this dataset, the calculation gives 14 meV per atom. The total energy comes out at -5.95 eV per atom.